# Na2Cu4SnAs3 PBE relaxed
# M_tot, μB/atom: 0.00
# Density of states at the Fermi level, states/eV per cell: 5.1
# Formation energy from the elements, eV/atom: -0.15
data_Na2Cu4SnAs3
_chemical_formula_sum 'Na2 Cu4 Sn1 As3'
_cell_length_a 4.1965
_cell_length_b 4.1965
_cell_length_c 10.6337
_cell_angle_alpha 90.00
_cell_angle_beta 90.00
_cell_angle_gamma 90.00
_space_group_name_H-M_alt 'P -4 m 2'
_space_group_IT_number 115
loop_
_space_group_symop_operation_xyz
'x,y,z'
'y,-x,-z'
'-x,-y,z'
'-y,x,-z'
'-x,y,z'
'-y,-x,-z'
'x,-y,z'
'y,x,-z'
loop_
_atom_site_label
_atom_site_fract_x
_atom_site_fract_y
_atom_site_fract_z
_atom_site_occupancy
Na1 0.0000 0.5000 0.2296 1
Cu1 0.0000 0.0000 0.0000 1
Cu2 0.0000 0.5000 0.6497 1
Cu3 0.5000 0.5000 0.0000 1
Sn1 0.0000 0.0000 0.5000 1
As1 0.0000 0.5000 0.8726 1
As2 0.5000 0.5000 0.5000 1